No. 1
Entry from the Alexandria database: Th2ScHg4 after structural relaxation (PBE).

Cell: 10.0876 10.0876 10.0876 Å, 27.88 27.88 27.88°
With the nearest neighbours (Å) after each atom.
Sites, in units of the cell vectors:
Th: 0.2466 0.2466 0.2466  8 Hg 3.16-3.48
Th: 0.7534 0.7534 0.7534  8 Hg 3.16-3.48
Sc: 0.0000 0.0000 0.0000  6 Hg 2.97
Hg: 0.1378 0.1378 0.1378  4 Th 3.16-3.17, 3 Hg 3.27
Hg: 0.3663 0.3663 0.3663  3 Sc 2.97, 3 Th 3.21
Hg: 0.6337 0.6337 0.6337  3 Sc 2.97, 3 Th 3.21
Hg: 0.8622 0.8622 0.8622  4 Th 3.16-3.17, 3 Hg 3.27

Properties
E, eV for the cell shown: -23.4
Calculated density, Mg/m³: 10.98
Offset from the most stable computed form, eV per atom: 0.0000
DOS(E_F), states/eV/atom: 0.85
E_form, meV per atom: -140

No. 2
Entry from the Alexandria database: YHoSb2 after structural relaxation (PBE).

Cell: 7.5871 7.5871 7.5871 Å, 33.55 33.55 33.55°
With the nearest neighbours (Å) after each atom.
Sites, in units of the cell vectors:
Y: 0.0000 0.0000 0.0000  6 Sb 3.10
Ho: 0.5000 0.5000 0.5000  6 Sb 3.09
Sb: 0.2494 0.2494 0.2494  3 Ho 3.09, 3 Y 3.10
Sb: 0.7506 0.7506 0.7506  3 Ho 3.09, 3 Y 3.10

Properties
E, eV for the cell shown: -23.8
Calculated density, Mg/m³: 6.95
Offset from the most stable computed form, eV per atom: 0.0000
Formation energy from raw total energies, eV/atom: -1.140
DOS(E_F), states/eV/atom: 0.17

No. 3
Entry from the Alexandria database: CoNi2Rh5 after structural relaxation (PBE).

Cell: 5.2985 5.2985 5.2985 Å, 119.58 119.58 90.73°
With the nearest neighbours (Å) after each atom.
Sites, in units of the cell vectors:
Co: 0.0000 0.0000 0.0000  8 Rh 2.65, 4 Ni 2.67
Ni: 0.0000 0.5000 0.5000  10 Rh 2.65-2.67, 2 Co 2.67
Ni: 0.5000 0.0000 0.5000  10 Rh 2.65-2.67, 2 Co 2.67
Rh: 0.0000 0.0000 0.5000  2 Co 2.65, 4 Ni 2.65, 6 Rh 2.65-2.67
Rh: 0.0000 0.5000 0.0000  2 Co 2.65, 4 Ni 2.65, 6 Rh 2.65-2.67
Rh: 0.5000 0.0000 0.0000  2 Co 2.65, 4 Ni 2.65, 6 Rh 2.65-2.67
Rh: 0.5000 0.5000 0.0000  8 Rh 2.65, 4 Ni 2.67
Rh: 0.5000 0.5000 0.5000  2 Co 2.65, 4 Ni 2.65, 6 Rh 2.65-2.67

Properties
E, eV for the cell shown: -55.0
Calculated density, Mg/m³: 10.84
DOS(E_F), states/eV/atom: 1.23
E_form, meV per atom: 48

No. 4
Entry from the Alexandria database: TcAu3F after structural relaxation (PBE).

Cell: 4.5676 4.5676 4.5676 Å, 90.00 90.00 90.00°
With the nearest neighbours (Å) after each atom.
Sites, in units of the cell vectors:
Tc: 0.0000 0.0000 0.0000  12 Au 3.23
Au: 0.0000 0.5000 0.5000  2 F 2.28
Au: 0.5000 0.0000 0.5000  2 F 2.28
Au: 0.5000 0.5000 0.0000  2 F 2.28
F: 0.5000 0.5000 0.5000  6 Au 2.28

Properties
E, eV for the cell shown: -17.6
Calculated density, Mg/m³: 12.34
Offset from the most stable computed form, eV per atom: 0.0000
Formation energy from raw total energies, eV/atom: 0.891
DOS(E_F), states/eV/atom: 1.69

No. 5
Entry from the Alexandria database: YIn2Ir2 after structural relaxation (PBE).

Cell: 7.8900 7.8900 3.1568 Å, 90.00 90.00 90.00°
With the nearest neighbours (Å) after each atom.
Sites, in units of the cell vectors:
Y: 0.0000 0.0000 0.0000  4 Ir 3.03, 2 Y 3.16, 8 In 3.39
Y: 0.5000 0.5000 0.0000  4 Ir 3.03, 2 Y 3.16, 8 In 3.39
In: 0.1522 0.3478 0.5000  6 Ir 2.77-2.82
In: 0.3478 0.8478 0.5000  6 Ir 2.77-2.82
In: 0.6522 0.1522 0.5000  6 Ir 2.77-2.82
In: 0.8478 0.6522 0.5000  6 Ir 2.77-2.82
Ir: 0.1437 0.6437 0.0000  6 In 2.77-2.82, 2 Y 3.03
Ir: 0.3563 0.1437 0.0000  6 In 2.77-2.82, 2 Y 3.03
Ir: 0.6437 0.8563 0.0000  6 In 2.77-2.82, 2 Y 3.03
Ir: 0.8563 0.3563 0.0000  6 In 2.77-2.82, 2 Y 3.03

Properties
E, eV for the cell shown: -62.4
Calculated density, Mg/m³: 11.88
Offset from the most stable computed form, eV per atom: 0.0619
DOS(E_F), states/eV/atom: 0.51
E_form, meV per atom: -303

No. 6
Entry from the Alexandria database: Pm6Zn3Hg after structural relaxation (PBE).

Cell: 9.4678 5.1759 11.5523 Å, 90.00 107.22 90.00°
With the nearest neighbours (Å) after each atom.
Sites, in units of the cell vectors:
Pm: 0.0269 0.2500 0.4023  5 Zn 3.07-3.40
Pm: 0.1473 0.7500 0.1864  5 Zn 3.06-3.37, 1 Hg 3.16
Pm: 0.2224 0.2500 0.9950  4 Zn 3.07-3.20, 2 Hg 3.32
Pm: 0.3406 0.7500 0.8170  3 Zn 3.20-3.31, 3 Hg 3.20-3.28, 2 Pm 3.54
Pm: 0.3779 0.2500 0.3469  3 Pm 3.15-3.39, 3 Zn 3.29-3.35
Pm: 0.3826 0.2500 0.6208  3 Zn 3.00-3.10, 1 Hg 3.10, 1 Pm 3.15
Pm: 0.6174 0.7500 0.3792  3 Zn 3.00-3.10, 1 Hg 3.10, 1 Pm 3.15
Pm: 0.6221 0.7500 0.6531  3 Pm 3.15-3.39, 3 Zn 3.29-3.35
Pm: 0.6594 0.2500 0.1830  3 Zn 3.20-3.31, 3 Hg 3.20-3.28, 2 Pm 3.54
Pm: 0.7776 0.7500 0.0050  4 Zn 3.07-3.20, 2 Hg 3.32
Pm: 0.8527 0.2500 0.8136  5 Zn 3.06-3.37, 1 Hg 3.16
Pm: 0.9731 0.7500 0.5977  5 Zn 3.07-3.40
Zn: 0.0343 0.7500 0.8806  8 Pm 3.08-3.37, 2 Zn 3.44
Zn: 0.1212 0.2500 0.7171  7 Pm 3.00-3.31
Zn: 0.2707 0.7500 0.4755  8 Pm 3.10-3.40
Zn: 0.7293 0.2500 0.5245  8 Pm 3.10-3.40
Zn: 0.8788 0.7500 0.2829  7 Pm 3.00-3.31
Zn: 0.9657 0.2500 0.1194  8 Pm 3.08-3.37, 2 Zn 3.44
Hg: 0.4388 0.7500 0.1067  7 Pm 3.10-3.32
Hg: 0.5612 0.2500 0.8933  7 Pm 3.10-3.32

Properties
E, eV for the cell shown: -70.0
Calculated density, Mg/m³: 7.78
DOS(E_F), states/eV/atom: 1.01
E_form, meV per atom: -239

No. 7
Entry from the Alexandria database: LiSm3Pb5 after structural relaxation (PBE).

Cell: 9.5000 9.5000 6.4890 Å, 90.00 90.00 120.00°
With the nearest neighbours (Å) after each atom.
Sites, in units of the cell vectors:
Li: 0.0000 0.0000 0.0000  6 Pb 3.02, 2 Li 3.24
Li: 0.0000 0.0000 0.5000  6 Pb 3.02, 2 Li 3.24
Sm: 0.0000 0.3817 0.2500  9 Pb 3.23-3.42
Sm: 0.0000 0.6183 0.7500  9 Pb 3.23-3.42
Sm: 0.3817 0.0000 0.2500  9 Pb 3.23-3.42
Sm: 0.3817 0.3817 0.7500  9 Pb 3.23-3.42
Sm: 0.6183 0.0000 0.7500  9 Pb 3.23-3.42
Sm: 0.6183 0.6183 0.2500  9 Pb 3.23-3.42
Pb: 0.0000 0.2683 0.7500  2 Li 3.02, 3 Sm 3.23-3.33
Pb: 0.0000 0.7317 0.2500  2 Li 3.02, 3 Sm 3.23-3.33
Pb: 0.2683 0.0000 0.7500  2 Li 3.02, 3 Sm 3.23-3.33
Pb: 0.2683 0.2683 0.2500  2 Li 3.02, 3 Sm 3.23-3.33
Pb: 0.3333 0.6667 0.0000  2 Pb 3.24, 6 Sm 3.38
Pb: 0.3333 0.6667 0.5000  2 Pb 3.24, 6 Sm 3.38
Pb: 0.6667 0.3333 0.0000  2 Pb 3.24, 6 Sm 3.38
Pb: 0.6667 0.3333 0.5000  2 Pb 3.24, 6 Sm 3.38
Pb: 0.7317 0.0000 0.2500  2 Li 3.02, 3 Sm 3.23-3.33
Pb: 0.7317 0.7317 0.7500  2 Li 3.02, 3 Sm 3.23-3.33

Properties
E, eV for the cell shown: -76.3
Calculated density, Mg/m³: 9.78
DOS(E_F), states/eV/atom: 0.57
E_form, meV per atom: -392

No. 8
Entry from the Alexandria database: TlCd2Hg2Pb2 after structural relaxation (PBE).

Cell: 4.8730 4.8730 10.3094 Å, 90.00 90.00 120.00°
With the nearest neighbours (Å) after each atom.
Sites, in units of the cell vectors:
Tl: 0.0000 0.0000 0.0000  6 Cd 3.17, 2 Pb 3.25
Cd: 0.3333 0.6667 0.8589  3 Tl 3.17, 3 Pb 3.34
Cd: 0.6667 0.3333 0.1411  3 Tl 3.17, 3 Pb 3.34
Hg: 0.3333 0.6667 0.4374  3 Pb 3.08, 3 Hg 3.10
Hg: 0.6667 0.3333 0.5626  3 Pb 3.08, 3 Hg 3.10
Pb: 0.0000 0.0000 0.3149  3 Hg 3.08, 1 Tl 3.25, 3 Cd 3.34
Pb: 0.0000 0.0000 0.6851  3 Hg 3.08, 1 Tl 3.25, 3 Cd 3.34

Properties
E, eV for the cell shown: -11.4
Calculated density, Mg/m³: 9.75
DOS(E_F), states/eV/atom: 0.34
E_form, meV per atom: 123

No. 9
Entry from the Alexandria database: In2Co2Ag after structural relaxation (PBE).

Cell: 7.4910 7.4910 2.9651 Å, 90.00 90.00 90.00°
With the nearest neighbours (Å) after each atom.
Sites, in units of the cell vectors:
In: 0.1516 0.3484 0.0000  6 Co 2.63-2.66, 2 Ag 2.85
In: 0.3484 0.8484 0.0000  6 Co 2.63-2.66, 2 Ag 2.85
In: 0.6516 0.1516 0.0000  6 Co 2.63-2.66, 2 Ag 2.85
In: 0.8484 0.6516 0.0000  6 Co 2.63-2.66, 2 Ag 2.85
Co: 0.1439 0.6439 0.5000  6 In 2.63-2.66
Co: 0.3561 0.1439 0.5000  6 In 2.63-2.66
Co: 0.6439 0.8561 0.5000  6 In 2.63-2.66
Co: 0.8561 0.3561 0.5000  6 In 2.63-2.66
Ag: 0.0000 0.0000 0.0000  4 In 2.85, 2 Ag 2.97
Ag: 0.5000 0.5000 0.0000  4 In 2.85, 2 Ag 2.97

Properties
E, eV for the cell shown: -42.3
Calculated density, Mg/m³: 9.09
Offset from the most stable computed form, eV per atom: 0.0992
DOS(E_F), states/eV/atom: 0.76
E_form, meV per atom: 277

No. 10
Entry from the Alexandria database: Na3Cd3Hg2 after structural relaxation (PBE).

Cell: 7.9988 7.9988 3.7173 Å, 90.00 90.00 120.00°
With the nearest neighbours (Å) after each atom.
Sites, in units of the cell vectors:
Na: 0.0000 0.3969 0.0000  4 Hg 3.08, 4 Cd 3.33
Na: 0.3969 0.0000 0.0000  4 Hg 3.08, 4 Cd 3.33
Na: 0.6031 0.6031 0.0000  4 Hg 3.08, 4 Cd 3.33
Cd: 0.0000 0.7729 0.5000  2 Cd 3.15, 2 Hg 3.18, 4 Na 3.33
Cd: 0.2271 0.2271 0.5000  2 Cd 3.15, 2 Hg 3.18, 4 Na 3.33
Cd: 0.7729 0.0000 0.5000  2 Cd 3.15, 2 Hg 3.18, 4 Na 3.33
Hg: 0.3333 0.6667 0.5000  6 Na 3.08, 3 Cd 3.18
Hg: 0.6667 0.3333 0.5000  6 Na 3.08, 3 Cd 3.18

Properties
E, eV for the cell shown: -8.4
Calculated density, Mg/m³: 6.51
Offset from the most stable computed form, eV per atom: 0.0000
DOS(E_F), states/eV/atom: 0.35
E_form, meV per atom: -139

No. 11
Entry from the Alexandria database: CdSbO2 after structural relaxation (PBE).

Cell: 6.8634 6.8634 6.8634 Å, 28.32 28.32 28.32°
With the nearest neighbours (Å) after each atom.
Sites, in units of the cell vectors:
Cd: 0.0000 0.0000 0.0000  6 O 2.30
Sb: 0.5000 0.5000 0.5000  2 O 2.05
O: 0.3963 0.3963 0.3963  1 Sb 2.05
O: 0.6037 0.6037 0.6037  1 Sb 2.05

Properties
E, eV for the cell shown: -18.3
Calculated density, Mg/m³: 6.88
Offset from the most stable computed form, eV per atom: 0.0000
Formation energy from raw total energies, eV/atom: -0.831
DOS(E_F), states/eV/atom: 0.20

No. 12
Entry from the Alexandria database: NdTlTcO6 after structural relaxation (PBE).

Cell: 5.7047 5.7047 4.8017 Å, 90.00 90.00 120.00°
With the nearest neighbours (Å) after each atom.
Sites, in units of the cell vectors:
Nd: 0.0000 0.0000 0.0000  6 O 2.33
Tl: 0.3333 0.6667 0.5000  6 O 2.48
Tc: 0.6667 0.3333 0.0000  6 O 1.92
O: 0.3865 0.0590 0.7730  1 Tc 1.92
O: 0.3865 0.3275 0.2270  1 Tc 1.92
O: 0.6725 0.0590 0.2270  1 Tc 1.92
O: 0.6725 0.6135 0.7730  1 Tc 1.92
O: 0.9410 0.3275 0.7730  1 Tc 1.92
O: 0.9410 0.6135 0.2270  1 Tc 1.92

Properties
E, eV for the cell shown: -61.6
Calculated density, Mg/m³: 6.66
Formation energy from raw total energies, eV/atom: -1.590
DOS(E_F), states/eV/atom: 0.37